Here is crystalline Pm2Pr5 at its relaxed geometry from the Alexandria database. Energies are from PBE-GGA.

Properties
- offset from the most stable computed form (meV/atom) = 0
- formation enthalpy at 0 K (eV/atom) = 0.097
- DOS(E_F) (states/eV per cell) = 28.5

Cell: 9.7307 6.1445 9.4113 Å, 90.00 117.81 90.00°
Last column: nearest neighbours and their distance in Å.
Space group C2/m (No. 12)
Unique sites:
Pm 0.2157 0.0000 0.1441 (multiplicity 4)  9 Pr 3.58-3.76, 1 Pm 3.79
Pr 0.0000 0.5000 0.0000 (multiplicity 2)  4 Pr 3.60-3.75, 6 Pm 3.60-3.61
Pr 0.0718 0.0000 0.7177 (multiplicity 4)  4 Pm 3.58-3.59, 6 Pr 3.61-3.76
Pr 0.1442 0.5000 0.4290 (multiplicity 4)  2 Pm 3.59-3.76, 8 Pr 3.59-3.76

Here is crystalline LaP2Ru at its relaxed geometry from the Alexandria database. Energies are from PBE-GGA.

Properties
- offset from the most stable computed form (meV/atom) = 775
- formation enthalpy at 0 K (eV/atom) = -0.212
- DOS(E_F) (states/eV per cell) = 5.4

Cell: 5.6054 6.9372 3.8204 Å, 90.00 90.00 90.00°
Last column: nearest neighbours and their distance in Å.
Space group Cmmm (No. 65)
Unique sites:
La 0.0000 0.0000 0.0000 (multiplicity 2)  2 Ru 2.80, 8 P 2.94
P 0.2500 0.2500 0.5000 (multiplicity 4)  2 P 2.80, 4 La 2.94, 4 Ru 2.94
Ru 0.0000 0.5000 0.0000 (multiplicity 2)  2 La 2.80, 8 P 2.94

Here is crystalline Sr2SeS at its relaxed geometry from the Alexandria database. Energies are from PBE-GGA.

Properties
- offset from the most stable computed form (meV/atom) = 8
- E_form (uncorrected) (kJ/mol of formula units) = -809
- DOS(E_F) (states/eV per cell) = 0.0

Cell: 4.3755 4.3755 6.1882 Å, 90.00 90.00 90.00°
Last column: nearest neighbours and their distance in Å.
Space group P4/mmm (No. 123)
Unique sites:
Sr 0.0000 0.0000 0.0000 (multiplicity 1)  4 S 3.09, 2 Se 3.09
Sr 0.5000 0.5000 0.5000 (multiplicity 1)  4 Se 3.09, 2 S 3.09
Se 0.0000 0.0000 0.5000 (multiplicity 1)  6 Sr 3.09
S 0.5000 0.5000 0.0000 (multiplicity 1)  6 Sr 3.09

Here is crystalline KSiHAu2 at its relaxed geometry from the Alexandria database. Energies are from PBE-GGA.

Properties
- energy (Ha/atom) = -0.1215
- DOS(E_F) (states/eV per cell) = 1.4

Cell: 5.0791 5.0791 3.7737 Å, 90.00 90.00 90.00°
Last column: nearest neighbours and their distance in Å.
Space group P4/mmm (No. 123)
Unique sites:
K 0.0000 0.0000 0.0000 (multiplicity 1)  8 Au 3.16
Si 0.5000 0.5000 0.5000 (multiplicity 1)  2 H 1.89
H 0.5000 0.5000 0.0000 (multiplicity 1)  2 Si 1.89
Au 0.0000 0.5000 0.5000 (multiplicity 2)  2 Si 2.54

Here is crystalline Ac2USb3Pt4 at its relaxed geometry from the Alexandria database. Energies are from PBE-GGA.

Properties
- E_form (uncorrected) (kJ/mol of formula units) = -786
- DOS(E_F) (states/eV per cell) = 9.2

Cell: 4.6807 4.6807 11.2904 Å, 90.00 90.00 90.00°
Last column: nearest neighbours and their distance in Å.
Space group P-4m2 (No. 115)
Unique sites:
Ac 0.0000 0.5000 0.2222 (multiplicity 2)  8 Pt 3.43-3.65, 4 Sb 3.49
U 0.0000 0.0000 0.5000 (multiplicity 1)  4 Pt 2.84
Sb 0.0000 0.5000 0.8764 (multiplicity 2)  5 Pt 2.65-2.72
Sb 0.5000 0.5000 0.5000 (multiplicity 1)  4 Pt 2.84
Pt 0.0000 0.0000 0.0000 (multiplicity 1)  4 Sb 2.72
Pt 0.0000 0.5000 0.6418 (multiplicity 2)  3 Sb 2.65-2.84, 2 U 2.84
Pt 0.5000 0.5000 0.0000 (multiplicity 1)  4 Sb 2.72

Here is crystalline Pr3AlGe2Pt9 at its relaxed geometry from the Alexandria database. Energies are from PBE-GGA.

Properties
- formation enthalpy at 0 K (eV/atom) = -0.669
- DOS(E_F) (states/eV per cell) = 4.0

Cell: 6.4981 6.4981 9.0675 Å, 90.00 90.00 120.00°
Last column: nearest neighbours and their distance in Å.
Space group P-3m1 (No. 164)
Unique sites:
Pr 0.0000 0.0000 0.0000 (multiplicity 1)  12 Pt 3.03-3.25
Pr 0.3333 0.6667 0.7133 (multiplicity 2)  9 Pt 3.21-3.26
Al 0.0000 0.0000 0.5000 (multiplicity 1)  6 Pt 2.49
Ge 0.3333 0.6667 0.1878 (multiplicity 2)  6 Pt 2.36-2.53
Pt 0.0000 0.5000 0.0000 (multiplicity 3)  2 Ge 2.53
Pt 0.1390 0.2780 0.2859 (multiplicity 6)  1 Ge 2.36, 1 Al 2.49

Here is crystalline MgSb2Pb at its relaxed geometry from the Alexandria database. Energies are from PBE-GGA.

Properties
- offset from the most stable computed form (meV/atom) = 41
- E_form (uncorrected) (kJ/mol of formula units) = -7
- DOS(E_F) (states/eV per cell) = 6.3

Cell: 3.4385 3.4385 32.0795 Å, 90.00 90.00 120.00°
Last column: nearest neighbours and their distance in Å.
Space group R-3m (No. 166, hexagonal axes)
Unique sites:
Mg 0.0000 0.0000 0.0000 (multiplicity 3)  6 Sb 3.04
Sb 0.0000 0.0000 0.2616 (multiplicity 6)  3 Mg 3.04
Pb 0.0000 0.0000 0.5000 (multiplicity 3)  6 Pb 3.44, 6 Sb 3.63

Here is crystalline LuSiPt2 at its relaxed geometry from the Alexandria database. Energies are from PBE-GGA.

Properties
- E_form (uncorrected) (kJ/mol of formula units) = -381
- DOS(E_F) (states/eV per cell) = 6.8

Cell: 4.2246 4.2246 14.1797 Å, 90.00 90.00 120.00°
Last column: nearest neighbours and their distance in Å.
Space group R-3m (No. 166, hexagonal axes)
Unique sites:
Lu 0.0000 0.0000 0.0000 (multiplicity 3)  8 Pt 2.98-3.02
Si 0.0000 0.0000 0.5000 (multiplicity 3)  6 Pt 2.53
Pt 0.0000 0.0000 0.2132 (multiplicity 6)  3 Si 2.53, 3 Pt 2.77

Here is crystalline SrLi2Be at its relaxed geometry from the Alexandria database. Energies are from PBE-GGA.

Properties
- formation enthalpy at 0 K (eV/atom) = 0.298
- DOS(E_F) (states/eV per cell) = 1.3

Cell: 3.5635 3.5635 7.4338 Å, 90.00 90.00 90.00°
Last column: nearest neighbours and their distance in Å.
Space group P4mm (No. 99)
Unique sites:
Sr 0.0000 0.0000 0.0000 (multiplicity 1)  1 Li 3.15, 4 Be 3.22
Li 0.0000 0.0000 0.4243 (multiplicity 1)  4 Be 2.77, 4 Li 2.94
Li 0.5000 0.5000 0.6281 (multiplicity 1)  1 Be 2.67, 4 Li 2.94
Be 0.5000 0.5000 0.2688 (multiplicity 1)  5 Li 2.67-2.77

Here is crystalline LaOs2 at its relaxed geometry from the Alexandria database. Energies are from PBE-GGA.

Properties
- formation enthalpy at 0 K (eV/atom) = 0.472
- DOS(E_F) (states/eV per cell) = 4.4

Cell: 3.6475 3.6475 5.0914 Å, 90.00 90.00 90.00°
Last column: nearest neighbours and their distance in Å.
Space group P4/mmm (No. 123)
Unique sites:
La 0.0000 0.0000 0.0000 (multiplicity 1)  8 Os 3.13
Os 0.0000 0.5000 0.5000 (multiplicity 2)  4 Os 2.58

Here is crystalline Pr2Nd8Tm3 at its relaxed geometry from the Alexandria database. Energies are from PBE-GGA.

Properties
- offset from the most stable computed form (meV/atom) = 0
- formation enthalpy at 0 K (eV/atom) = 0.166
- DOS(E_F) (states/eV per cell) = 42.0

Cell: 13.3330 11.8799 6.2063 Å, 90.00 114.09 90.00°
Last column: nearest neighbours and their distance in Å.
Space group C2/m (No. 12)
Unique sites:
Pr 0.2169 0.0000 0.3150 (multiplicity 4)  6 Nd 3.21-3.59, 1 Tm 3.47
Nd 0.0446 0.0000 0.7724 (multiplicity 4)  1 Nd 3.09, 2 Pr 3.21-3.30, 2 Tm 3.44
Nd 0.1480 0.5000 0.0803 (multiplicity 4)  3 Tm 3.33-3.49, 2 Pr 3.44-3.59, 1 Nd 3.65
Nd 0.1596 0.2439 0.6500 (multiplicity 8)  2 Pr 3.42-3.82, 3 Nd 3.50-3.78, 3 Tm 3.61-3.71
Tm 0.0000 0.2494 0.0000 (multiplicity 4)  8 Nd 3.44-3.71
Tm 0.0000 0.5000 0.5000 (multiplicity 2)  6 Nd 3.33-3.61, 2 Pr 3.47

Here is crystalline AlCdBi2 at its relaxed geometry from the Alexandria database. Energies are from PBE-GGA.

Properties
- offset from the most stable computed form (meV/atom) = 51
- formation enthalpy at 0 K (eV/atom) = 0.205
- DOS(E_F) (states/eV per cell) = 5.7

Cell: 3.5174 3.5174 33.4695 Å, 90.00 90.00 120.00°
Last column: nearest neighbours and their distance in Å.
Space group R-3m (No. 166, hexagonal axes)
Unique sites:
Al 0.0000 0.0000 0.0000 (multiplicity 3)  6 Bi 2.99
Cd 0.0000 0.0000 0.5000 (multiplicity 3)  2 Bi 3.38, 6 Cd 3.52
Bi 0.0000 0.0000 0.3990 (multiplicity 6)  3 Al 2.99